[1]
Entry from Alexandria: a geometry-optimized FeB4 structure (PBE-GGA).

Structure (POSCAR):
```
FeB4
1.0
3.7520 0.0000 0.0000
0.0000 3.7520 0.0000
0.0000 0.0000 3.7520
Fe B
1 4
direct
0.5000 0.5000 0.5000
0.5000 0.0000 0.5000
0.5000 0.5000 0.0000
0.0000 0.0000 0.0000
0.0000 0.5000 0.5000
```

Output
Calculated formation energy: 1567 meV per atom
E_tot: -27.339 eV/f.u.
V: 10.56 Å³/atom


[2]
Entry from Alexandria: a geometry-optimized Nd2Tm6Sc structure (PBE-GGA).

Structure (POSCAR):
```
Nd2Tm6Sc
1.0
-2.6256 1.7189 1.3380
-4.9189 -1.1306 -8.1999
-3.3606 -4.8557 8.3387
Nd Tm Sc
2 6 1
direct
0.3333 0.3332 0.6665
0.6667 0.6668 0.3335
0.5000 0.3284 0.0000
0.1723 0.0000 0.3281
0.1723 0.3281 0.3281
0.8277 0.6719 0.6719
0.8277 0.0000 0.6719
0.5000 0.6716 0.0000
0.0000 0.0000 0.0000
```

Output
Calculated formation energy: 103 meV per atom
E_tot: -41.766 eV/f.u.
V: 30.45 Å³/atom


[3]
Entry from Alexandria: a geometry-optimized MgHgBi2 structure (PBE-GGA).

Structure (POSCAR):
```
MgHgBi2
1.0
-0.4814 -2.9892 3.6481
3.8174 -1.3965 2.4399
0.1650 5.0427 7.2342
Mg Hg Bi
1 1 2
direct
0.5000 0.5000 0.5000
0.0000 0.0000 0.0000
0.1171 0.1171 0.6488
0.8829 0.8829 0.3512
```

Output
Calculated formation energy: 166 meV per atom
E_tot: -8.993 eV/f.u.
V: 40.80 Å³/atom


[4]
Entry from Alexandria: a geometry-optimized RhPb2Br structure (PBE-GGA).

Structure (POSCAR):
```
RhPb2Br
1.0
-0.9199 3.3641 4.3460
-4.1290 -5.9401 -2.7904
0.4059 -2.0835 2.5815
Pb Br Rh
2 1 1
direct
0.0000 0.5000 0.5000
0.0000 0.0000 0.0000
0.5000 0.0000 0.5000
0.5000 0.5000 0.0000
```

Output
Formation energy (no corrections): 0.038 eV per atom
E_tot: -16.291 eV/f.u.
V: 24.84 Å³/atom


[5]
Entry from Alexandria: a geometry-optimized PuCdHgPb structure (PBE-GGA).

Structure (POSCAR):
```
PuCdHgPb
1.0
-0.4754 -3.7873 -3.6631
4.3003 -2.5208 -1.7721
0.8254 -5.0601 1.3044
Pb Hg Cd Pu
1 1 1 1
direct
0.2500 0.2500 0.2500
0.7500 0.7500 0.7500
0.5000 0.5000 0.5000
0.0000 0.0000 0.0000
```

Output
Calculated formation energy: -93 meV per atom
E_tot: -19.628 eV/f.u.
V: 26.17 Å³/atom


[6]
Entry from Alexandria: a geometry-optimized La5Pm2Y6 structure (PBE-GGA).

Structure (POSCAR):
```
La5Pm2Y6
1.0
-1.0233 2.9536 -1.8854
-1.9610 -6.7616 -9.5278
-19.8105 -2.9324 6.1584
Y Pm La
12 4 10
direct
0.0000 0.9403 0.9197
0.5000 0.1797 0.6363
0.0000 0.5597 0.4197
0.0000 0.4403 0.5803
0.5000 0.8203 0.3637
0.0000 0.9218 0.6318
0.0000 0.0782 0.3682
0.5000 0.3203 0.1363
0.5000 0.6797 0.8637
0.0000 0.5782 0.1318
0.0000 0.4218 0.8682
0.0000 0.0597 0.0803
0.0000 0.1740 0.7882
0.0000 0.3260 0.2882
0.0000 0.8260 0.2118
0.0000 0.6740 0.7118
0.5000 0.2974 0.4526
0.5000 0.2026 0.9526
0.5000 0.7026 0.5474
0.5000 0.5785 0.2733
0.5000 0.7974 0.0474
0.5000 0.0000 0.5000
0.5000 0.9215 0.7733
0.5000 0.0785 0.2267
0.5000 0.4215 0.7267
0.5000 0.5000 0.0000
```

Output
Calculated formation energy: 91 meV per atom
E_tot: -71.738 eV/f.u.
V: 34.85 Å³/atom


[7]
Entry from Alexandria: a geometry-optimized BaZnAs2Se structure (PBE-GGA).

Structure (POSCAR):
```
BaZnAs2Se
1.0
-6.6206 0.0451 0.5326
0.4462 -3.1766 5.8162
0.2741 5.4348 2.9473
As Se Ba Zn
2 1 1 1
direct
0.0000 0.5000 0.0000
0.5000 0.0000 0.0000
0.0000 0.0000 0.5000
0.0000 0.0000 0.0000
0.5000 0.5000 0.5000
```

Output
Formation energy (no corrections): 0.854 eV per atom
E_tot: -11.710 eV/f.u.
V: 54.61 Å³/atom


[8]
Entry from Alexandria: a geometry-optimized Cs2MgZnW structure (PBE-GGA).

Structure (POSCAR):
```
Cs2MgZnW
1.0
-5.3811 -4.6131 -0.7855
1.3086 -0.6842 -4.9463
4.3162 -5.3554 1.8826
W Mg Cs Zn
1 1 2 1
direct
0.5000 0.5000 0.5000
0.0000 0.0000 0.0000
0.5000 0.0000 0.0000
0.0000 0.0000 0.5000
0.0000 0.5000 0.0000
```

Output
Calculated formation energy: 1556 meV per atom
E_tot: -9.747 eV/f.u.
V: 52.50 Å³/atom


[9]
Entry from Alexandria: a geometry-optimized Ca3Al4Hg2 structure (PBE-GGA).

Structure (POSCAR):
```
Ca3Al4Hg2
1.0
4.7188 0.0000 0.0000
-2.3594 5.4799 -0.4478
0.0000 -2.9337 8.4082
Al Hg Ca
4 2 3
direct
0.9848 0.9696 0.6423
0.7483 0.4965 0.0790
0.0152 0.0304 0.3577
0.2517 0.5035 0.9210
0.4038 0.8076 0.7348
0.5962 0.1924 0.2652
0.3216 0.6433 0.3456
0.0000 0.0000 0.0000
0.6784 0.3567 0.6544
```

Output
Calculated formation energy: -362 meV per atom
E_tot: -24.836 eV/f.u.
V: 23.47 Å³/atom


[10]
Entry from Alexandria: a geometry-optimized CuC3 structure (PBE-GGA).

Structure (POSCAR):
```
CuC3
1.0
3.4229 0.0009 0.0015
-1.1426 3.2265 0.0015
-1.1426 -1.6172 2.7920
C Cu
3 1
direct
0.0000 0.0000 0.0000
0.5000 0.0000 0.5000
0.0000 0.5000 0.5000
0.5000 0.5000 0.0000
```

Output
Calculated formation energy: 2529 meV per atom
E_tot: -21.654 eV/f.u.
V: 7.71 Å³/atom


[11]
Entry from Alexandria: a geometry-optimized La3CeSn3 structure (PBE-GGA).

Structure (POSCAR):
```
La3CeSn3
1.0
-3.6603 6.5894 -2.0986
-1.7558 -6.8164 -3.4171
-6.0866 -1.4419 5.8690
Sn La Ce
6 6 2
direct
0.2157 0.4996 0.2449
0.0387 0.0387 0.2418
0.9613 0.9613 0.7582
0.4996 0.2157 0.2449
0.5004 0.7843 0.7551
0.7843 0.5004 0.7551
0.2029 0.7971 0.5000
0.8076 0.1924 0.0000
0.6927 0.6927 0.4444
0.7971 0.2029 0.5000
0.1924 0.8076 0.0000
0.3073 0.3073 0.5556
0.3438 0.3438 0.9406
0.6562 0.6562 0.0594
```

Output
Calculated formation energy: -521 meV per atom
E_tot: -36.369 eV/f.u.
V: 32.23 Å³/atom


[12]
Entry from Alexandria: a geometry-optimized HoTl2RhO6 structure (PBE-GGA).

Structure (POSCAR):
```
HoTl2RhO6
1.0
5.6999 0.0000 0.0002
2.8499 4.9362 0.0000
2.8498 1.6455 4.8704
O Tl Ho Rh
6 2 1 1
direct
0.1061 0.4376 0.7886
0.1914 0.9727 0.2642
0.9727 0.5716 0.2642
0.4376 0.6676 0.7886
0.6676 0.1061 0.7886
0.5716 0.1914 0.2642
0.5484 0.5484 0.3549
0.0342 0.0342 0.8973
0.8119 0.8119 0.5643
0.3199 0.3199 0.0402
```

Output
Formation energy (no corrections): -1.377 eV per atom
E_tot: -60.183 eV/f.u.
V: 13.70 Å³/atom